[1]
The following is a PBE-GGA calculation of an optimized crystal structure of MgTlF3, from Alexandria via LeMat-Bulk.

total DFT energy (no corrections): -4.66 eV/atom
uncorrected formation energy: -2.75 eV per atom
symmetry: Pmma (51)

Cell: 6.3983 4.0234 6.6038 Å, 90.00 90.00 90.00°
Last column: nearest neighbours and their distance in Å.
Positions (direct):
Mg (0.2500, 0.0000, 0.1712)  5 F 1.93-2.01
Mg (0.7500, 0.0000, 0.8288)  5 F 1.93-2.01
Tl (0.2500, 0.5000, 0.7085)  2 F 2.58
Tl (0.7500, 0.5000, 0.2915)  2 F 2.58
F (0.0000, 0.0000, 0.0000)  2 Mg 1.96
F (0.2500, 0.0000, 0.4628)  1 Mg 1.93
F (0.2500, 0.5000, 0.1772)  2 Mg 2.01
F (0.5000, 0.0000, 0.0000)  2 Mg 1.96
F (0.7500, 0.0000, 0.5372)  1 Mg 1.93
F (0.7500, 0.5000, 0.8228)  2 Mg 2.01


[2]
The following is a PBE-GGA calculation of an optimized crystal structure of SrCdBr2, from Alexandria via LeMat-Bulk.

total DFT energy (no corrections): -2.79 eV/atom
energy above the lowest structure with this stoichiometry: 108 meV/atom
uncorrected formation energy: -1.31 eV per atom
symmetry: P2/m (10)

Cell: 3.8557 3.8558 10.1597 Å, 90.00 90.19 90.00°
Last column: nearest neighbours and their distance in Å.
Positions (direct):
Sr (0.0000, 0.0000, 0.0000)  8 Br 3.23
Cd (0.0000, 0.0000, 0.5000)  4 Cd 3.86, 4 Br 4.31
Br (0.4975, 0.5000, 0.8296)  4 Sr 3.23, 1 Br 3.46
Br (0.5025, 0.5000, 0.1704)  4 Sr 3.23, 1 Br 3.46


[3]
The following is a PBE-GGA calculation of an optimized crystal structure of CoIrAu2Cl, from Alexandria via LeMat-Bulk.

total DFT energy (no corrections): -3.75 eV/atom
uncorrected formation energy: 1.12 eV per atom
symmetry: P4/mmm (123)

Cell: 4.8688 4.8688 4.3543 Å, 90.00 90.00 90.00°
Last column: nearest neighbours and their distance in Å.
Positions (direct):
Co (0.0000, 0.0000, 0.0000)  2 Ir 2.18, 4 Au 2.43
Ir (0.0000, 0.0000, 0.5000)  2 Co 2.18
Au (0.0000, 0.5000, 0.0000)  2 Co 2.43
Au (0.5000, 0.0000, 0.0000)  2 Co 2.43
Cl (0.5000, 0.5000, 0.5000)  8 Au 3.27, 4 Ir 3.44